No. 1
Compound: AcCd6Hg4
Source: Alexandria via LeMat-Bulk
Functional: PBE
Structure: optimized geometry

Results
formation enthalpy at 0 K: -2.87 kcal/mol of atoms
energy relative to the lowest polymorph listed for this composition: 0.00 eV/f.u.
SG: P-6m2 (187)

Unit cell a=8.5702 b=8.5702 c=4.4036 alpha=90.00 beta=90.00 gamma=120.00
Last column: nearest neighbours and their distance in Å.
Positions (direct):
Ac 0.0000 0.0000 0.0000  6 Hg 3.55, 6 Cd 3.72
Cd 0.2018 0.4037 0.5000  4 Hg 2.90-2.94
Cd 0.2018 0.7982 0.5000  4 Hg 2.90-2.94
Cd 0.5374 0.0748 0.0000  5 Hg 3.01-3.03, 2 Cd 3.32
Cd 0.5374 0.4626 0.0000  5 Hg 3.01-3.03, 2 Cd 3.32
Cd 0.5963 0.7982 0.5000  4 Hg 2.90-2.94
Cd 0.9252 0.4626 0.0000  5 Hg 3.01-3.03, 2 Cd 3.32
Hg 0.3333 0.6667 0.0000  9 Cd 2.94-3.03
Hg 0.3760 0.1880 0.5000  6 Cd 2.90-3.01
Hg 0.8120 0.1880 0.5000  6 Cd 2.90-3.01
Hg 0.8120 0.6240 0.5000  6 Cd 2.90-3.01


No. 2
Compound: Sn3SbF9
Source: Alexandria via LeMat-Bulk
Functional: PBE
Structure: optimized geometry

Results
ΔE_f (raw): -2.32 eV/atom
SG: Pbcm (57)

Unit cell a=4.8471 b=9.3324 c=21.6883 alpha=90.00 beta=90.00 gamma=90.00
Last column: nearest neighbours and their distance in Å.
Positions (direct):
Sn 0.0009 0.0108 0.1218  3 F 2.12-2.27
Sn 0.0009 0.0108 0.3782  3 F 2.12-2.27
Sn 0.0009 0.4892 0.6218  3 F 2.12-2.27
Sn 0.0009 0.4892 0.8782  3 F 2.12-2.27
Sn 0.4318 0.2500 0.0000  4 F 2.15-2.35
Sn 0.4318 0.2500 0.5000  4 F 2.15-2.35
Sn 0.5682 0.7500 0.0000  4 F 2.15-2.35
Sn 0.5682 0.7500 0.5000  4 F 2.15-2.35
Sn 0.9991 0.5108 0.1218  3 F 2.12-2.27
Sn 0.9991 0.5108 0.3782  3 F 2.12-2.27
Sn 0.9991 0.9892 0.6218  3 F 2.12-2.27
Sn 0.9991 0.9892 0.8782  3 F 2.12-2.27
Sb 0.4547 0.7494 0.2500  3 F 1.97-2.04
Sb 0.4547 0.7506 0.7500  3 F 1.97-2.04
Sb 0.5453 0.2494 0.2500  3 F 1.97-2.04
Sb 0.5453 0.2506 0.7500  3 F 1.97-2.04
F 0.1034 0.1758 0.5585  2 Sn 2.15-2.27
F 0.1034 0.1758 0.9415  2 Sn 2.15-2.27
F 0.1034 0.3242 0.0585  2 Sn 2.15-2.27
F 0.1034 0.3242 0.4415  2 Sn 2.15-2.27
F 0.2690 0.1747 0.1868  1 Sb 2.04
F 0.2690 0.1747 0.3132  1 Sb 2.04
F 0.2690 0.3253 0.6868  1 Sb 2.04
F 0.2690 0.3253 0.8132  1 Sb 2.04
F 0.2750 0.6378 0.6629  1 Sn 2.12, 1 Sb 2.33
F 0.2750 0.6378 0.8371  1 Sn 2.12, 1 Sb 2.33
F 0.2750 0.8622 0.1629  1 Sn 2.12, 1 Sb 2.33
F 0.2750 0.8622 0.3371  1 Sn 2.12, 1 Sb 2.33
F 0.3213 0.0744 0.7500  1 Sb 1.97
F 0.3213 0.4256 0.2500  1 Sb 1.97
F 0.3234 0.0431 0.0564  2 Sn 2.13-2.35
F 0.3234 0.0431 0.4436  2 Sn 2.13-2.35
F 0.3234 0.4569 0.5564  2 Sn 2.13-2.35
F 0.3234 0.4569 0.9436  2 Sn 2.13-2.35
F 0.6766 0.5431 0.0564  2 Sn 2.13-2.35
F 0.6766 0.5431 0.4436  2 Sn 2.13-2.35
F 0.6766 0.9569 0.5564  2 Sn 2.13-2.35
F 0.6766 0.9569 0.9436  2 Sn 2.13-2.35
F 0.6787 0.5744 0.7500  1 Sb 1.97
F 0.6787 0.9256 0.2500  1 Sb 1.97
F 0.7250 0.1378 0.6629  1 Sn 2.12, 1 Sb 2.33
F 0.7250 0.1378 0.8371  1 Sn 2.12, 1 Sb 2.33
F 0.7250 0.3622 0.1629  1 Sn 2.12, 1 Sb 2.33
F 0.7250 0.3622 0.3371  1 Sn 2.12, 1 Sb 2.33
F 0.7310 0.6747 0.1868  1 Sb 2.04
F 0.7310 0.6747 0.3132  1 Sb 2.04
F 0.7310 0.8253 0.6868  1 Sb 2.04
F 0.7310 0.8253 0.8132  1 Sb 2.04
F 0.8966 0.6758 0.5585  2 Sn 2.15-2.27
F 0.8966 0.6758 0.9415  2 Sn 2.15-2.27
F 0.8966 0.8242 0.0585  2 Sn 2.15-2.27
F 0.8966 0.8242 0.4415  2 Sn 2.15-2.27


No. 3
Compound: RbNp3S6
Source: Alexandria via LeMat-Bulk
Functional: PBE
Structure: optimized geometry

Results
ΔE_f (raw): -1.34 eV/atom
SG: P2_1/m (11)

Unit cell a=11.7947 b=4.0595 c=12.3205 alpha=90.00 beta=106.88 gamma=90.00
Last column: nearest neighbours and their distance in Å.
Positions (direct):
Rb 0.1440 0.2500 0.4296  6 S 3.28-3.46
Rb 0.8560 0.7500 0.5704  6 S 3.28-3.46
Np 0.1571 0.7500 0.0522  6 S 2.64-2.76
Np 0.2375 0.2500 0.7974  6 S 2.68-2.79
Np 0.4659 0.2500 0.3481  6 S 2.67-2.73
Np 0.5341 0.7500 0.6519  6 S 2.67-2.73
Np 0.7625 0.7500 0.2026  6 S 2.68-2.79
Np 0.8429 0.2500 0.9478  6 S 2.64-2.76
S 0.0581 0.2500 0.9029  4 Np 2.75-2.79
S 0.1466 0.7500 0.6574  2 Np 2.68
S 0.2452 0.2500 0.1950  3 Np 2.69-2.73
S 0.3183 0.7500 0.9419  3 Np 2.64-2.69
S 0.3754 0.7500 0.4449  3 Np 2.69-2.72
S 0.4415 0.2500 0.7390  3 Np 2.67-2.70
S 0.5585 0.7500 0.2610  3 Np 2.67-2.70
S 0.6246 0.2500 0.5551  3 Np 2.69-2.72
S 0.6817 0.2500 0.0581  3 Np 2.64-2.69
S 0.7548 0.7500 0.8050  3 Np 2.69-2.73
S 0.8534 0.2500 0.3426  2 Np 2.68
S 0.9419 0.7500 0.0971  4 Np 2.75-2.79


Result set for total DFT energy (no corrections): -1.1069 -4.8551 -7.7945 eV/atom, one per record in the order listed.